A geometry-optimized Zr2ScCd4 structure, computed with PBE.

Cell: 6.0638 6.0638 6.0638 Å, 112.65 107.91 107.91°
Element x y z (fractional)
1 Zr 0.5000 0.0000 0.5000
2 Zr 0.5000 0.5000 0.0000
3 Cd 0.0000 0.5000 0.0000
4 Cd 0.0000 0.0000 0.5000
5 Cd 0.5000 0.0000 0.0000
6 Cd 0.5000 0.5000 0.5000
7 Sc 0.0000 0.0000 0.0000

Summary:
Size of the total moment, μB/f.u.: 1.23
ΔH_f (0 K), meV/atom: 15